Material: Cd2FeSe
Method: DFT, GGA-PBE
State: relaxed

Cell: 2.9748 4.6872 11.8393 Å, 90.00 90.00 90.00°
Last column: nearest neighbours and their distance in Å.
Space group Imm2 (No. 44)
Asymmetric unit:
Cd (0.0000, 0.0000, 0.0000) x2  4 Fe 2.80, 4 Cd 2.97-3.07
Cd (0.0000, 0.5000, 0.1674) x2  2 Fe 2.79, 4 Cd 2.97-3.07
Fe (0.0000, 0.0000, 0.4683) x2  2 Se 2.33
Se (0.0000, 0.5000, 0.8172) x2  2 Fe 2.33

Computed properties:
Formation energy (no corrections) ... 0.05 eV/atom
Total moment ... 0.44 μB/atom
Total DFT energy (no corrections) ... -27.2 eV/cell